[1]
Crystalline Pr2Cu2Sb2AsP at its relaxed geometry. Source: OQMD via LeMat-Bulk, functional PBE.

abc: 4.147 4.147 10.170
angles: 90.00 90.00 90.00
Element x y z (fractional)
Pr  0.000  0.000  0.000
Pr  0.500  0.500  0.477
Cu  0.000  0.500  0.232
Cu  0.500  0.000  0.232
Sb  0.000  0.500  0.738
Sb  0.500  0.000  0.738
As  0.000  0.000  0.381
P  0.500  0.500  0.102

Properties
- Space-group type: P4mm (99)

---

[2]
Crystalline Pr2Cu2SbAs2P at its relaxed geometry. Source: OQMD via LeMat-Bulk, functional PBE.

abc: 4.020 4.020 10.294
angles: 90.00 90.00 90.00
Element x y z (fractional)
Pr  0.000  0.500  0.246
Pr  0.500  0.000  0.754
Cu  0.000  0.000  0.500
Cu  0.500  0.500  0.500
Sb  0.500  0.500  0.000
As  0.000  0.500  0.647
As  0.500  0.000  0.353
P  0.000  0.000  0.000

Properties
- Space-group type: P-4m2 (115)

---

Calculated total energy values, unit eV per formula unit, following the record order: -41.4; -42.1.
Total magnetization values, unit μB per cell, following the record order: 0.00; 0.00.